[1]
Compound: YFe2W
Source: the Alexandria database
Functional: GGA-PBE
Structure: optimized geometry

Summary:
Total DFT energy (no corrections) in eV per atom: -8.531
Calculated formation energy in eV/f.u.: 2.22
Theoretical density in g cm⁻³: 9.6

Unit cell a=8.176 b=8.176 c=8.176 alpha=21.92 beta=21.92 gamma=21.92
Positions (direct):
Y (0.000, 0.000, 0.000)
Fe (0.238, 0.238, 0.238)
Fe (0.762, 0.762, 0.762)
W (0.500, 0.500, 0.500)

***

[2]
Compound: Ga3Cu
Source: the Alexandria database
Functional: GGA-PBE
Structure: optimized geometry

Summary:
Total DFT energy (no corrections) in eV per atom: -3.336
Calculated formation energy in eV/f.u.: -0.17
Theoretical density in g cm⁻³: 6.5

Unit cell a=6.815 b=6.815 c=6.815 alpha=144.89 beta=128.81 gamma=63.59
Positions (direct):
Ga (0.089, 0.345, 0.744)
Ga (0.219, 0.000, 0.219)
Ga (0.399, 0.655, 0.744)
Ga (0.601, 0.345, 0.256)
Ga (0.781, 0.000, 0.781)
Ga (0.911, 0.655, 0.256)
Cu (0.334, 0.834, 0.500)
Cu (0.666, 0.166, 0.500)

***

[3]
Compound: NaNdErSn
Source: the Alexandria database
Functional: GGA-PBE
Structure: optimized geometry

Summary:
Total DFT energy (no corrections) in eV per atom: -3.939
Calculated formation energy in eV/f.u.: -1.10
Theoretical density in g cm⁻³: 6.8

Unit cell a=5.393 b=5.393 c=5.393 alpha=60.00 beta=60.00 gamma=60.00
Positions (direct):
Na (0.000, 0.000, 0.000)
Nd (0.750, 0.750, 0.750)
Er (0.250, 0.250, 0.250)
Sn (0.500, 0.500, 0.500)

***

[4]
Compound: NpSn2P2Pt7
Source: the Alexandria database
Functional: GGA-PBE
Structure: optimized geometry

Summary:
Total DFT energy (no corrections) in eV per atom: -6.694
Calculated formation energy in eV/f.u.: -6.28
Theoretical density in g cm⁻³: 13.3

Unit cell a=3.948 b=3.948 c=15.447 alpha=97.32 beta=97.32 gamma=90.00
Positions (direct):
Np (0.000, 0.000, 0.000)
Sn (0.213, 0.213, 0.426)
Sn (0.787, 0.787, 0.574)
P (0.381, 0.381, 0.761)
P (0.619, 0.619, 0.239)
Pt (0.075, 0.575, 0.151)
Pt (0.306, 0.306, 0.610)
Pt (0.425, 0.925, 0.849)
Pt (0.500, 0.500, 0.000)
Pt (0.575, 0.075, 0.151)
Pt (0.694, 0.694, 0.390)
Pt (0.925, 0.425, 0.849)